Compound: Co3Sb
Source: Alexandria via LeMat-Bulk
Functional: GGA-PBEsol
Structure: relaxed

E_form (uncorrected) in eV per atom: 0.147
Total magnetization in μB per atom: 0.99
DFT total energy in eV per atom: -6.80
Volume in Å³ per atom: 12.7
Space-group type: Pm-3n, No. 223

a b c (Å): 4.665 4.665 4.665
angles (deg): 90.00 90.00 90.00
Site moments in Bohr magnetons follow the coordinates.
Positions (direct):
Co 0.750 0.500 0.000  1.34
Co 0.250 0.500 0.000  1.34
Co 0.000 0.750 0.500  1.34
Co 0.000 0.250 0.500  1.34
Co 0.500 0.000 0.250  1.34
Co 0.500 0.000 0.750  1.34
Sb 0.000 0.000 0.000  -0.02
Sb 0.500 0.500 0.500  -0.02